# 1
## Na2CdNiF8 (PBE+U)

Data for an optimized crystal structure of Na2CdNiF8.

Cell: 4.9309 5.0519 6.8272 Å, 90.00 90.00 92.09°
Closest atoms and distances in Å follow each position.
Positions (direct):
Na (0.5000, 0.5000, 0.2425)  6 F 2.24-2.37
Na (0.5000, 0.5000, 0.7575)  6 F 2.24-2.37
F (0.3024, 0.2981, 0.5000)  1 Cd 2.08, 2 Na 2.24
F (0.8207, 0.1686, 0.1918)  1 Ni 1.81
F (0.1793, 0.8314, 0.8082)  1 Ni 1.81
F (0.1792, 0.8314, 0.1918)  1 Ni 1.81
F (0.8208, 0.1686, 0.8082)  1 Ni 1.81
F (0.6976, 0.7019, 0.5000)  1 Cd 2.08, 2 Na 2.24
F (0.7434, 0.7375, 0.0000)  1 Ni 1.80
F (0.2566, 0.2625, 0.0000)  1 Ni 1.80
Ni (0.0000, 0.0000, 0.0000)  6 F 1.80-1.81
Cd (0.0000, 0.0000, 0.5000)  2 F 2.08



# 2
## Na2CdNiF6 (PBE+U)

Data for an optimized crystal structure of Na2CdNiF6.

Cell: 5.5894 5.8214 8.0851 Å, 90.00 90.46 90.00°
Closest atoms and distances in Å follow each position.
Positions (direct):
Ni (0.0000, 0.5000, 0.0000)  6 F 2.02-2.05
Ni (0.5000, 0.0000, 0.5000)  6 F 2.02-2.05
Na (0.4830, 0.4400, 0.2503)  4 F 2.31-2.37
Na (0.9830, 0.0600, 0.7503)  4 F 2.31-2.37
Na (0.0170, 0.9400, 0.2497)  4 F 2.31-2.37
Na (0.5170, 0.5600, 0.7497)  4 F 2.31-2.37
F (0.7952, 0.8184, 0.5624)  1 Ni 2.02, 1 Cd 2.24
F (0.2952, 0.6816, 0.0624)  1 Ni 2.02, 1 Cd 2.24
F (0.2048, 0.1816, 0.4376)  1 Ni 2.02, 1 Cd 2.24
F (0.7048, 0.3184, 0.9376)  1 Ni 2.02, 1 Cd 2.24
F (0.1742, 0.2076, 0.0687)  1 Ni 2.04, 1 Cd 2.26
F (0.8258, 0.7924, 0.9313)  1 Ni 2.04, 1 Cd 2.26
F (0.3258, 0.7076, 0.4313)  1 Ni 2.04, 1 Cd 2.26
F (0.8765, 0.5564, 0.2346)  1 Ni 2.05, 1 Cd 2.27
F (0.3765, 0.9436, 0.7346)  1 Ni 2.05, 1 Cd 2.27
F (0.6235, 0.0564, 0.2654)  1 Ni 2.05, 1 Cd 2.27
F (0.1235, 0.4436, 0.7654)  1 Ni 2.05, 1 Cd 2.27
F (0.6742, 0.2924, 0.5687)  1 Ni 2.04, 1 Cd 2.26
Cd (0.5000, 0.0000, 0.0000)  6 F 2.24-2.27
Cd (0.0000, 0.5000, 0.5000)  6 F 2.24-2.27



Number 1: total DFT energy (no corrections) -3.8171 eV/atom. Number 2: total DFT energy (no corrections) -4.1536 eV/atom.